# PBE K2BiTe4Pb, relaxed
data_K2BiTe4Pb
_chemical_formula_sum 'K8 Bi4 Te16 Pb4'
_cell_length_a 9.4331
_cell_length_b 9.5259
_cell_length_c 13.4243
_cell_angle_alpha 90.00
_cell_angle_beta 90.00
_cell_angle_gamma 90.00
_symmetry_space_group_name_H-M 'I m m a'
_symmetry_Int_Tables_number 74
_symmetry_space_group_name_Hall '-I 2b 2'
loop_
_atom_site_label
_atom_site_fract_x
_atom_site_fract_y
_atom_site_fract_z
K1 0.0000 0.0000 0.0000
K2 0.2500 0.2500 0.2500
Bi1 0.0000 0.0000 0.5000
Te1 0.0000 0.0201 0.7378
Te2 0.2270 0.2500 0.5095
Pb1 0.2500 0.2500 0.7500
# E_tot: -3.34 eV per atom
# formation energy from raw total energies: -0.54 eV/atom
# DOS(E_F): 23.68 states/eV per cell



# PBE Pm2HoSe3, relaxed
data_Pm2HoSe3
_chemical_formula_sum 'Pm4 Ho2 Se6'
_cell_length_a 4.1547
_cell_length_b 5.8586
_cell_length_c 12.4645
_cell_angle_alpha 90.00
_cell_angle_beta 90.00
_cell_angle_gamma 90.00
_symmetry_space_group_name_H-M 'I m m m'
_symmetry_Int_Tables_number 71
_symmetry_space_group_name_Hall '-I 2 2'
loop_
_atom_site_label
_atom_site_fract_x
_atom_site_fract_y
_atom_site_fract_z
Pm1 0.0000 0.0000 0.1721
Ho1 0.0000 0.0000 0.5000
Se1 0.0000 0.5000 0.1582
Se2 0.0000 0.5000 0.5000
# E_tot: -5.88 eV per atom
# polymorph energy (0 for the lowest one): 0.00 kJ/mol of atoms
# formation energy from raw total energies: -1.79 eV/atom
# DOS(E_F): 5.41 states/eV per cell



# PBE Ti8VCo2, relaxed
data_Ti8VCo2
_chemical_formula_sum 'Ti16 V2 Co4'
_cell_length_a 11.7735
_cell_length_b 5.5936
_cell_length_c 5.3693
_cell_angle_alpha 90.00
_cell_angle_beta 98.42
_cell_angle_gamma 90.00
_symmetry_space_group_name_H-M 'C 1 2/m 1'
_symmetry_Int_Tables_number 12
loop_
_symmetry_equiv_pos_as_xyz
'x,y,z'
'-x,-y,-z'
'-x,y,-z'
'x,-y,z'
'x+1/2,y+1/2,z'
'-x+1/2,-y+1/2,-z'
'-x+1/2,y+1/2,-z'
'x+1/2,-y+1/2,z'
loop_
_atom_site_label
_atom_site_fract_x
_atom_site_fract_y
_atom_site_fract_z
Ti1 0.0879 0.0000 0.4065
Ti2 0.1099 0.2372 0.9006
Ti3 0.1949 0.5000 0.3373
V1 0.0000 0.5000 0.5000
Co1 0.2494 0.0000 0.2151
# ΔH_f (0 K): 0.002 eV/atom
# E_tot: -7.86 eV per atom
# DOS(E_F): 24.97 states/eV per cell



# PBE LiTmIrPd, relaxed
data_LiTmIrPd
_chemical_formula_sum 'Li4 Tm4 Ir4 Pd4'
_cell_length_a 6.4693
_cell_length_b 6.4693
_cell_length_c 6.4693
_cell_angle_alpha 90.00
_cell_angle_beta 90.00
_cell_angle_gamma 90.00
_symmetry_space_group_name_H-M 'F -4 3 m'
_symmetry_Int_Tables_number 216
_symmetry_space_group_name_Hall 'F -4 2 3'
loop_
_atom_site_label
_atom_site_fract_x
_atom_site_fract_y
_atom_site_fract_z
Li1 0.0000 0.0000 0.0000
Tm1 0.0000 0.0000 0.5000
Ir1 0.2500 0.2500 0.2500
Pd1 0.2500 0.2500 0.7500
# ΔH_f (0 K): -0.568 eV/atom
# E_tot: -5.68 eV per atom
# DOS(E_F): 11.43 states/eV per cell



# PBE SmThOsSe, relaxed
data_SmThOsSe
_chemical_formula_sum 'Sm3 Th3 Os3 Se3'
_cell_length_a 4.1101
_cell_length_b 4.1101
_cell_length_c 21.8383
_cell_angle_alpha 90.00
_cell_angle_beta 90.00
_cell_angle_gamma 120.00
_symmetry_space_group_name_H-M 'R 3 m'
_symmetry_Int_Tables_number 160
_symmetry_space_group_name_Hall 'R 3 -2"'
loop_
_atom_site_label
_atom_site_fract_x
_atom_site_fract_y
_atom_site_fract_z
Sm1 0.0000 0.0000 0.0000
Th1 0.0000 0.0000 0.1892
Os1 0.0000 0.0000 0.5898
Se1 0.0000 0.0000 0.7594
# E_tot: -7.57 eV per atom
# formation energy from raw total energies: -0.85 eV/atom
# DOS(E_F): 8.94 states/eV per cell



# PBE Li2BeRh, relaxed
data_Li2BeRh
_chemical_formula_sum 'Li4 Be2 Rh2'
_cell_length_a 8.0129
_cell_length_b 2.9921
_cell_length_c 4.3522
_cell_angle_alpha 90.00
_cell_angle_beta 110.18
_cell_angle_gamma 90.00
_symmetry_space_group_name_H-M 'C 1 m 1'
_symmetry_Int_Tables_number 8
loop_
_symmetry_equiv_pos_as_xyz
'x,y,z'
'x,-y,z'
'x+1/2,y+1/2,z'
'x+1/2,-y+1/2,z'
loop_
_atom_site_label
_atom_site_fract_x
_atom_site_fract_y
_atom_site_fract_z
Li1 0.0000 0.0000 0.0000
Li2 0.2414 0.0000 0.8127
Be1 0.4920 0.0000 0.4540
Rh1 0.2709 0.5000 0.3559
# ΔH_f (0 K): -0.143 eV/atom
# E_tot: -3.87 eV per atom
# DOS(E_F): 2.09 states/eV per cell



# PBE Hf3Mn2Au, relaxed
data_Hf3Mn2Au
_chemical_formula_sum 'Hf3 Mn2 Au1'
_cell_length_a 3.1649
_cell_length_b 3.1649
_cell_length_c 10.2443
_cell_angle_alpha 90.00
_cell_angle_beta 90.00
_cell_angle_gamma 90.00
_symmetry_space_group_name_H-M 'P 4/m m m'
_symmetry_Int_Tables_number 123
_symmetry_space_group_name_Hall '-P 4 2'
loop_
_atom_site_label
_atom_site_fract_x
_atom_site_fract_y
_atom_site_fract_z
Hf1 0.0000 0.0000 0.0000
Hf2 0.0000 0.0000 0.3029
Mn1 0.5000 0.5000 0.1596
Au1 0.5000 0.5000 0.5000
# ΔH_f (0 K): -0.286 eV/atom
# E_tot: -8.87 eV per atom
# DOS(E_F): 5.24 states/eV per cell



# PBE Nb2ZnHAu, relaxed
data_Nb2ZnHAu
_chemical_formula_sum 'Nb2 Zn1 H1 Au1'
_cell_length_a 4.0011
_cell_length_b 4.0011
_cell_length_c 4.4159
_cell_angle_alpha 90.00
_cell_angle_beta 90.00
_cell_angle_gamma 90.00
_symmetry_space_group_name_H-M 'P 4/m m m'
_symmetry_Int_Tables_number 123
_symmetry_space_group_name_Hall '-P 4 2'
loop_
_atom_site_label
_atom_site_fract_x
_atom_site_fract_y
_atom_site_fract_z
Nb1 0.0000 0.5000 0.0000
Zn1 0.0000 0.0000 0.5000
H1 0.0000 0.0000 0.0000
Au1 0.5000 0.5000 0.5000
# E_tot: -5.72 eV per atom
# polymorph energy (0 for the lowest one): 0.00 kJ/mol of atoms
# DOS(E_F): 2.62 states/eV per cell